# 1
A plane-wave DFT calculation with GGA-PBE was carried out for an optimized crystal structure of CeBeTc.

The value obtained for the excess energy over the best structure of this formula in the dataset is 0 meV/atom.

Cell lengths 4.0296, 4.0296, 3.8355 Å; angles 90.00, 90.00, 120.00 degrees
Space group P-6m2 (No. 187)
Asymmetric unit:
Ce  0.0000  0.0000  0.0000 [1 per cell]
Be  0.3333  0.6667  0.5000 [1 per cell]
Tc  0.6667  0.3333  0.5000 [1 per cell]


# 2
A plane-wave DFT calculation with GGA-PBE was carried out for an optimized crystal structure of K3RbCl3.

The value obtained for the formation energy (no corrections) is -10.57 eV/f.u.

Cell lengths 8.7396, 8.7396, 8.7396 Å; angles 90.00, 90.00, 90.00 degrees
Space group Pm-3n (No. 223)
Asymmetric unit:
K  0.0000  0.2500  0.5000 [6 per cell]
Rb  0.0000  0.0000  0.0000 [2 per cell]
Cl  0.0000  0.5000  0.2500 [6 per cell]


# 3
A plane-wave DFT calculation with GGA-PBE was carried out for an optimized crystal structure of In5Ga3Sn12.

The value obtained for the uncorrected energy is -3.363 eV/atom.

Cell lengths 17.1986, 17.1986, 17.1986 Å; angles 90.00, 90.00, 90.00 degrees
Space group Ia-3d (No. 230)
Asymmetric unit:
In  0.0000  0.0000  0.0000 [16 per cell]
In  0.0000  0.2500  0.3750 [24 per cell]
Ga  0.0000  0.2500  0.1250 [24 per cell]
Sn  0.0174  0.0894  0.6503 [96 per cell]


# 4
A plane-wave DFT calculation with GGA-PBE was carried out for an optimized crystal structure of NaCdBiO4.

The value obtained for the formation energy (no corrections) is -7.94 eV/f.u.

Cell lengths 6.6935, 6.7754, 9.7828 Å; angles 90.00, 90.00, 90.00 degrees
Space group Imma (No. 74)
Asymmetric unit:
Na  0.0000  0.2500  0.1092 [4 per cell]
Cd  0.0000  0.0000  0.5000 [4 per cell]
Bi  0.2500  0.2500  0.7500 [4 per cell]
O  0.0000  0.0350  0.7484 [8 per cell]
O  0.2318  0.2500  0.5357 [8 per cell]


Number 1: N(E_F) 3.26 states/eV/cell. Number 2: N(E_F) 6.05 states/eV/cell. Number 3: N(E_F) 111.89 states/eV/cell. Number 4: N(E_F) 0.94 states/eV/cell.